Entry 1:
KRbPS2: optimized geometry, PBE.

polymorph energy (0 for the lowest one) = 1.33 eV/f.u.
calculated volume = 140 Å³/f.u.
formation energy (no corrections) = -0.113 eV/atom
final energy = -3.26 eV per atom
size of the total moment = 0.00 μB per cell

The structure in CIF format:
```
data_KRbPS2
_space_group_name_H-M_alt 'P 4/m m m'
_space_group_IT_number 123
_space_group_name_Hall '-P 4 2'
_cell_length_a 5.007
_cell_length_b 5.007
_cell_length_c 5.590
_cell_angle_alpha 90.00
_cell_angle_beta 90.00
_cell_angle_gamma 90.00
loop_
_atom_site_label
_atom_site_type_symbol
_atom_site_fract_x
_atom_site_fract_y
_atom_site_fract_z
K1 K 0.000 0.000 0.000
Rb1 Rb 0.500 0.500 0.000
P1 P 0.500 0.500 0.500
S1 S 0.000 0.500 0.500
```

---

Entry 2:
BaHgCl2: optimized geometry, PBE.

polymorph energy (0 for the lowest one) = 0.01 eV/f.u.
calculated volume = 216 Å³/f.u.
formation energy (no corrections) = -1.803 eV/atom
final energy = -3.28 eV per atom
size of the total moment = 0.00 μB per cell

The structure in CIF format:
```
data_BaHgCl2
_space_group_name_H-M_alt 'R -3 m'
_space_group_IT_number 166
_space_group_name_Hall '-R 3 2"'
_cell_length_a 4.7984
_cell_length_b 4.7984
_cell_length_c 32.5712
_cell_angle_alpha 90.00
_cell_angle_beta 90.00
_cell_angle_gamma 120.00
loop_
_atom_site_label
_atom_site_type_symbol
_atom_site_fract_x
_atom_site_fract_y
_atom_site_fract_z
Ba1 Ba 0.0000 0.0000 0.0000
Hg1 Hg 0.0000 0.0000 0.5000
Cl1 Cl 0.0000 0.0000 0.3763
```

---

Entry 3:
CaGdPt4: optimized geometry, PBE.

calculated volume = 115 Å³/f.u.
energy of formation from the pure elements = -100.1 kJ/mol of atoms
final energy = -7.74 eV per atom
size of the total moment = 28.73 μB per cell

The structure in CIF format:
```
data_CaGdPt4
_space_group_name_H-M_alt 'F -4 3 m'
_space_group_IT_number 216
_space_group_name_Hall 'F -4 2 3'
_cell_length_a 7.716
_cell_length_b 7.716
_cell_length_c 7.716
_cell_angle_alpha 90.00
_cell_angle_beta 90.00
_cell_angle_gamma 90.00
loop_
_atom_site_label
_atom_site_type_symbol
_atom_site_fract_x
_atom_site_fract_y
_atom_site_fract_z
Ca1 Ca 0.000 0.000 0.000
Gd1 Gd 0.250 0.250 0.250
Pt1 Pt 0.125 0.125 0.625
```

---

Entry 4:
SiRhAuS: optimized geometry, PBE.

polymorph energy (0 for the lowest one) = 0.09 eV/f.u.
calculated volume = 76 Å³/f.u.
formation energy (no corrections) = -0.175 eV/atom
final energy = -5.22 eV per atom
size of the total moment = 0.00 μB per cell

The structure in CIF format:
```
data_SiRhAuS
_space_group_name_H-M_alt 'C 1 m 1'
_space_group_IT_number 8
_space_group_name_Hall 'C -2y'
_cell_length_a 8.964
_cell_length_b 3.306
_cell_length_c 5.131
_cell_angle_alpha 90.00
_cell_angle_beta 90.80
_cell_angle_gamma 90.00
loop_
_atom_site_label
_atom_site_type_symbol
_atom_site_fract_x
_atom_site_fract_y
_atom_site_fract_z
Si1 Si 0.000 0.000 0.000
Rh1 Rh 0.431 0.000 0.312
Au1 Au 0.218 0.500 0.071
S1 S 0.044 0.000 0.581
```

---

Entry 5:
LiNdSi2Pd2: optimized geometry, PBE.

calculated volume = 105 Å³/f.u.
formation energy (no corrections) = -0.805 eV/atom
final energy = -5.46 eV per atom
size of the total moment = 0.00 μB per cell

The structure in CIF format:
```
data_LiNdSi2Pd2
_space_group_name_H-M_alt 'P -3 m 1'
_space_group_IT_number 164
_space_group_name_Hall '-P 3 2"'
_cell_length_a 4.2051
_cell_length_b 4.2051
_cell_length_c 6.8375
_cell_angle_alpha 90.00
_cell_angle_beta 90.00
_cell_angle_gamma 120.00
loop_
_atom_site_label
_atom_site_type_symbol
_atom_site_fract_x
_atom_site_fract_y
_atom_site_fract_z
Li1 Li 0.0000 0.0000 0.0000
Nd1 Nd 0.0000 0.0000 0.5000
Si1 Si 0.3333 0.6667 0.7805
Pd1 Pd 0.3333 0.6667 0.1430
```

---

Entry 6:
Hg2SbAsF: optimized geometry, PBE.

calculated volume = 175 Å³/f.u.
formation energy (no corrections) = 0.185 eV/atom
final energy = -2.06 eV per atom
size of the total moment = 1.18 μB per cell

The structure in CIF format:
```
data_Hg2SbAsF
_space_group_name_H-M_alt 'P 4/m m m'
_space_group_IT_number 123
_space_group_name_Hall '-P 4 2'
_cell_length_a 5.731
_cell_length_b 5.731
_cell_length_c 5.341
_cell_angle_alpha 90.00
_cell_angle_beta 90.00
_cell_angle_gamma 90.00
loop_
_atom_site_label
_atom_site_type_symbol
_atom_site_fract_x
_atom_site_fract_y
_atom_site_fract_z
Hg1 Hg 0.000 0.500 0.000
Sb1 Sb 0.000 0.000 0.000
As1 As 0.000 0.000 0.500
F1 F 0.500 0.500 0.500
```

---

Question: Which value of size of the total moment does entry 6 give?
Answer: 1.18 μB per cell